Entry 1:
## Ga3SiH (PBE-GGA)

Data for an optimized crystal structure of Ga3SiH.

CIF file:
```
data_Ga3SiH
_chemical_formula_sum 'Ga3 Si1 H1'
_symmetry_space_group_name_H-M 'P 1'
_symmetry_Int_Tables_number 1
_symmetry_space_group_name_Hall 'P 1'
_cell_length_a 4.255
_cell_length_b 4.255
_cell_length_c 4.255
_cell_angle_alpha 90.00
_cell_angle_beta 90.00
_cell_angle_gamma 90.00
loop_
_atom_site_label
_atom_site_type_symbol
_atom_site_fract_x
_atom_site_fract_y
_atom_site_fract_z
Si1 Si 0.500 0.500 0.500
Ga1 Ga 0.000 0.000 0.500
Ga2 Ga 0.000 0.500 0.000
Ga3 Ga 0.500 0.000 0.000
H1 H 0.000 0.000 0.000
```

---

Entry 2:
## GaSiH (PBE-GGA)

Data for an optimized crystal structure of GaSiH.

CIF file:
```
data_GaSiH
_chemical_formula_sum 'Ga2 Si2 H2'
_symmetry_space_group_name_H-M 'P 1'
_symmetry_Int_Tables_number 1
_symmetry_space_group_name_Hall 'P 1'
_cell_length_a 2.925
_cell_length_b 4.824
_cell_length_c 5.782
_cell_angle_alpha 90.00
_cell_angle_beta 90.00
_cell_angle_gamma 90.00
loop_
_atom_site_label
_atom_site_type_symbol
_atom_site_fract_x
_atom_site_fract_y
_atom_site_fract_z
H1 H 0.500 0.500 0.454
H2 H 0.000 0.000 0.954
Ga1 Ga 0.500 0.500 0.008
Ga2 Ga 0.000 0.000 0.508
Si1 Si 0.500 0.000 0.121
Si2 Si 0.000 0.500 0.621
```

---

Entry 3:
## SrGaSiH (PBE-GGA)

Data for an optimized crystal structure of SrGaSiH.

CIF file:
```
data_SrGaSiH
_chemical_formula_sum 'Sr1 Ga1 Si1 H1'
_symmetry_space_group_name_H-M 'P 1'
_symmetry_Int_Tables_number 1
_symmetry_space_group_name_Hall 'P 1'
_cell_length_a 4.190
_cell_length_b 4.190
_cell_length_c 4.974
_cell_angle_alpha 90.00
_cell_angle_beta 90.00
_cell_angle_gamma 120.00
loop_
_atom_site_label
_atom_site_type_symbol
_atom_site_fract_x
_atom_site_fract_y
_atom_site_fract_z
Sr1 Sr 0.667 0.333 0.999
Si1 Si 0.000 0.000 0.445
H1 H 0.333 0.667 0.905
Ga1 Ga 0.333 0.667 0.549
```

---

What did we get for electronic total energy? Answer: -3.2220 -3.6012 -3.7945 eV per atom, in the order shown.
What did we get for volume? Answer: 15.41 13.60 18.90 Å³/atom, in the order shown.